[1]
Computed, not measured: MgTi2Se after structural relaxation at the PBE level of DFT.

a b c (Å): 4.626 4.626 4.626
angles (deg): 60.00 60.00 60.00
Sites, in units of the cell vectors:
Mg  0.000  0.000  0.000
Ti  0.250  0.250  0.250
Ti  0.750  0.750  0.750
Se  0.500  0.500  0.500

## Properties
Uncorrected formation energy ... 0.054 eV/atom
Total magnetic moment ... 0.0 Bohr magnetons per cell
Total DFT energy (no corrections) ... -5.16 eV per atom
Excess energy over the best structure of this formula in the dataset ... 183 meV/atom

---

[2]
Computed, not measured: La3MgI after structural relaxation at the PBE level of DFT.

a b c (Å): 5.960 5.960 5.960
angles (deg): 90.00 90.00 90.00
Sites, in units of the cell vectors:
La  0.000  0.000  0.500
La  0.000  0.500  0.000
La  0.500  0.000  0.000
Mg  0.500  0.500  0.500
I  0.000  0.000  0.000

## Properties
Uncorrected formation energy ... 0.001 eV/atom
Total magnetic moment ... 0.0 Bohr magnetons per cell
Total DFT energy (no corrections) ... -3.58 eV per atom
Excess energy over the best structure of this formula in the dataset ... 0 meV/atom

---

[3]
Computed, not measured: Sc2SiAu after structural relaxation at the PBE level of DFT.

a b c (Å): 4.720 4.720 4.720
angles (deg): 60.00 60.00 60.00
Sites, in units of the cell vectors:
Sc  0.000  0.000  0.000
Sc  0.250  0.250  0.250
Si  0.750  0.750  0.750
Au  0.500  0.500  0.500

## Properties
Uncorrected formation energy ... -0.143 eV/atom
Total magnetic moment ... 2.2 Bohr magnetons per cell
Total DFT energy (no corrections) ... -5.48 eV per atom

---

[4]
Computed, not measured: SbRuCl2 after structural relaxation at the PBE level of DFT.

a b c (Å): 5.160 3.509 6.765
angles (deg): 90.00 112.35 90.00
Sites, in units of the cell vectors:
Sb  0.000  0.000  0.000
Ru  0.500  0.000  0.000
Cl  0.368  0.500  0.737
Cl  0.632  0.500  0.263

## Properties
Uncorrected formation energy ... -0.118 eV/atom
Total magnetic moment ... 0.0 Bohr magnetons per cell
Total DFT energy (no corrections) ... -4.39 eV per atom
Excess energy over the best structure of this formula in the dataset ... 58 meV/atom

---

- What is the total DFT energy (no corrections) in the fourth record?
  -4.39 eV per atom

---

Copy entry 3 word for word.
Computed, not measured: Sc2SiAu after structural relaxation at the PBE level of DFT.

a b c (Å): 4.720 4.720 4.720
angles (deg): 60.00 60.00 60.00
Sites, in units of the cell vectors:
Sc  0.000  0.000  0.000
Sc  0.250  0.250  0.250
Si  0.750  0.750  0.750
Au  0.500  0.500  0.500

## Properties
Uncorrected formation energy ... -0.143 eV/atom
Total magnetic moment ... 2.2 Bohr magnetons per cell
Total DFT energy (no corrections) ... -5.48 eV per atom

---

- Number 1 is which compound?
  MgTi2Se